## CaTb2Hg (GGA-PBE)

Data for a geometry-optimized CaTb2Hg structure.

Unit cell a=3.6311 b=3.6311 c=34.7807 alpha=90.00 beta=90.00 gamma=120.00
Space group R-3m (No. 166, hexagonal axes)
Inequivalent atoms, fractional coordinates:
Ca 0.0000 0.0000 0.0000 [3 per cell]
Tb 0.0000 0.0000 0.0989 [6 per cell]
Hg 0.0000 0.0000 0.5000 [3 per cell]

Computed properties:
total moment: 0.003 μB/cell
E above lowest polymorph: 17.9 kJ/mol of atoms
formation energy from the elements: 36 meV per atom
mass density: 7.01 g/cm3


## NaV2H (GGA-PBE)

Data for a geometry-optimized NaV2H structure.

Unit cell a=5.9669 b=5.9669 c=5.9669 alpha=90.00 beta=90.00 gamma=90.00
Space group Fm-3m (No. 225)
Inequivalent atoms, fractional coordinates:
Na 0.0000 0.0000 0.0000 [4 per cell]
V 0.2500 0.2500 0.2500 [8 per cell]
H 0.0000 0.0000 0.5000 [4 per cell]

Computed properties:
total moment: 0.000 μB/cell
E above lowest polymorph: 92.5 kJ/mol of atoms
mass density: 3.94 g/cm3


## TlPbBr3 (GGA-PBE)

Data for a geometry-optimized TlPbBr3 structure.

Unit cell a=4.2735 b=8.3912 c=11.2464 alpha=99.67 beta=100.94 gamma=90.01
Space group P1 (No. 1)
Inequivalent atoms, fractional coordinates:
Tl 0.0000 0.0000 0.0000 [1 per cell]
Tl 0.3218 0.4340 0.6411 [1 per cell]
Pb 0.2129 0.8928 0.4176 [1 per cell]
Pb 0.5210 0.4801 0.0411 [1 per cell]
Br 0.0959 0.3551 0.1910 [1 per cell]
Br 0.4274 0.1805 0.8542 [1 per cell]
Br 0.6008 0.8396 0.2015 [1 per cell]
Br 0.7520 0.1524 0.5029 [1 per cell]
Br 0.7616 0.6930 0.5219 [1 per cell]
Br 0.9362 0.6021 0.8713 [1 per cell]

Computed properties:
E_tot: -3.0938 eV per atom
total moment: 0.000 μB/cell
mass density: 5.54 g/cm3


## Dy8Cu2Sb (GGA-PBE)

Data for a geometry-optimized Dy8Cu2Sb structure.

Unit cell a=8.6314 b=13.3834 c=5.4131 alpha=90.00 beta=105.42 gamma=90.00
Space group C2/m (No. 12)
Inequivalent atoms, fractional coordinates:
Dy 0.0000 0.2424 0.0000 [4 per cell]
Dy 0.1050 0.5000 0.8013 [4 per cell]
Dy 0.2048 0.1241 0.5960 [8 per cell]
Cu 0.0000 0.3057 0.5000 [4 per cell]
Sb 0.0000 0.0000 0.0000 [2 per cell]

Computed properties:
E_tot: -4.6318 eV per atom
total moment: 0.139 μB/cell
mass density: 8.53 g/cm3


Among the records above, which one has the highest mass density? Dy8Cu2Sb


What is the mass density in the fourth record? 8.53 g/cm3


Copy entry 2 word for word.
## NaV2H (GGA-PBE)

Data for a geometry-optimized NaV2H structure.

Unit cell a=5.9669 b=5.9669 c=5.9669 alpha=90.00 beta=90.00 gamma=90.00
Space group Fm-3m (No. 225)
Inequivalent atoms, fractional coordinates:
Na 0.0000 0.0000 0.0000 [4 per cell]
V 0.2500 0.2500 0.2500 [8 per cell]
H 0.0000 0.0000 0.5000 [4 per cell]

Computed properties:
total moment: 0.000 μB/cell
E above lowest polymorph: 92.5 kJ/mol of atoms
mass density: 3.94 g/cm3


What is the formula in the fourth record? Dy8Cu2Sb